Record 1
This record from the Alexandria database describes crystalline BeTlSe2 at its relaxed geometry. The functional is GGA-PBEsol.

Calculated values
energy above the most stable polymorph in this dataset	0	meV per atom
energy relative to the elements, uncorrected	-314	meV per atom

abc: 4.301 3.780 6.393
angles: 90.00 102.70 90.00
Space group Pm (No. 6)
Asymmetric unit:
Be (0.000, 0.000, 0.000) (multiplicity 1)
Tl (0.262, 0.500, 0.594) (multiplicity 1)
Se (0.175, 0.500, 0.142) (multiplicity 1)
Se (0.782, 0.000, 0.660) (multiplicity 1)


Record 2
This record from the Alexandria database describes crystalline NiIr8 at its relaxed geometry. The functional is GGA-PBEsol.

Calculated values
formation energy from the elements	0.3	eV/f.u.

abc: 8.066 8.066 3.803
angles: 90.00 90.00 90.00
Space group I4/mmm (No. 139)
Asymmetric unit:
Ni (0.000, 0.000, 0.000) (multiplicity 2)
Ir (0.000, 0.333, 0.000) (multiplicity 8)
Ir (0.167, 0.167, 0.500) (multiplicity 8)


Record 3
This record from the Alexandria database describes crystalline NaIBrO2 at its relaxed geometry. The functional is GGA-PBEsol.

Calculated values
energy relative to the elements, uncorrected	506	meV per atom

abc: 4.353 4.353 6.526
angles: 90.00 90.00 90.00
Space group P4/mmm (No. 123)
Asymmetric unit:
Na (0.000, 0.000, 0.000) (multiplicity 1)
I (0.000, 0.000, 0.500) (multiplicity 1)
Br (0.500, 0.500, 0.500) (multiplicity 1)
O (0.000, 0.500, 0.000) (multiplicity 2)


Record 4
This record from the Alexandria database describes crystalline Sr2YAu2 at its relaxed geometry. The functional is GGA-PBEsol.

Calculated values
formation energy from the elements	-2.9	eV/f.u.

abc: 7.841 7.841 4.639
angles: 90.00 90.00 90.00
Space group P4/mbm (No. 127)
Asymmetric unit:
Sr (0.166, 0.334, 0.000) (multiplicity 4)
Y (0.000, 0.000, 0.500) (multiplicity 2)
Au (0.135, 0.635, 0.500) (multiplicity 4)


Record 5
This record from the Alexandria database describes crystalline Ge5Te8As2 at its relaxed geometry. The functional is GGA-PBEsol.

Calculated values
energy above the most stable polymorph in this dataset	41	meV per atom
energy relative to the elements, uncorrected	-24	meV per atom

abc: 12.956 5.826 11.652
angles: 90.00 116.79 90.00
Space group C2/m (No. 12)
Asymmetric unit:
Ge (0.000, 0.000, 0.000) (multiplicity 2)
Ge (0.015, 0.500, 0.262) (multiplicity 4)
Ge (0.248, 0.000, 0.872) (multiplicity 4)
Te (0.000, 0.500, 0.000) (multiplicity 2)
Te (0.000, 0.500, 0.500) (multiplicity 2)
Te (0.004, 0.000, 0.252) (multiplicity 4)
Te (0.240, 0.000, 0.618) (multiplicity 4)
Te (0.248, 0.500, 0.874) (multiplicity 4)
As (0.248, 0.500, 0.627) (multiplicity 4)


Record 6
This record from the Alexandria database describes crystalline AlRh at its relaxed geometry. The functional is GGA-PBEsol.

Calculated values
formation energy from the elements	-1.7	eV/f.u.

abc: 5.367 3.958 5.106
angles: 90.00 90.00 90.00
Space group Pmma (No. 51)
Asymmetric unit:
Al (0.000, 0.000, 0.000) (multiplicity 2)
Al (0.250, 0.500, 0.327) (multiplicity 2)
Rh (0.000, 0.000, 0.500) (multiplicity 2)
Rh (0.250, 0.500, 0.827) (multiplicity 2)


Record 7
This record from the Alexandria database describes crystalline ZnRu2Au at its relaxed geometry. The functional is GGA-PBEsol.

Calculated values
formation energy from the elements	1.6	eV/f.u.

abc: 2.802 4.536 9.088
angles: 90.00 90.00 90.00
Space group Cmmm (No. 65)
Asymmetric unit:
Zn (0.000, 0.000, 0.000) (multiplicity 2)
Ru (0.000, 0.500, 0.236) (multiplicity 4)
Au (0.000, 0.000, 0.500) (multiplicity 2)


Record 8
This record from the Alexandria database describes crystalline MgZnS2 at its relaxed geometry. The functional is GGA-PBEsol.

Calculated values
energy relative to the elements, uncorrected	-1095	meV per atom

abc: 5.521 5.521 10.960
angles: 90.00 90.00 90.00
Space group I-42d (No. 122)
Asymmetric unit:
Mg (0.000, 0.000, 0.000) (multiplicity 4)
Zn (0.000, 0.000, 0.500) (multiplicity 4)
S (0.233, 0.250, 0.625) (multiplicity 8)


Record 9
This record from the Alexandria database describes crystalline GaAg3 at its relaxed geometry. The functional is GGA-PBEsol.

Calculated values
formation energy from the elements	-0.1	eV/f.u.

abc: 5.7054 5.7054 4.6134
angles: 90.00 90.00 120.00
Space group P6_3/mmc (No. 194)
Asymmetric unit:
Ga (0.3333, 0.6667, 0.2500) (multiplicity 2)
Ag (0.1679, 0.3359, 0.7500) (multiplicity 6)


Record 10
This record from the Alexandria database describes crystalline KZnHg2Bi at its relaxed geometry. The functional is GGA-PBEsol.

Calculated values
formation energy from the elements	1.4	eV/f.u.

abc: 5.808 5.808 6.719
angles: 90.00 90.00 90.00
Space group P4/mmm (No. 123)
Asymmetric unit:
K (0.000, 0.000, 0.000) (multiplicity 1)
Zn (0.500, 0.500, 0.000) (multiplicity 1)
Hg (0.000, 0.500, 0.500) (multiplicity 2)
Bi (0.000, 0.000, 0.500) (multiplicity 1)


Record 11
This record from the Alexandria database describes crystalline Hf2MgS at its relaxed geometry. The functional is GGA-PBEsol.

Calculated values
energy relative to the elements, uncorrected	-4	meV per atom

abc: 6.634 6.634 6.634
angles: 90.00 90.00 90.00
Space group Fm-3m (No. 225)
Asymmetric unit:
Hf (0.250, 0.250, 0.250) (multiplicity 8)
Mg (0.000, 0.000, 0.000) (multiplicity 4)
S (0.000, 0.000, 0.500) (multiplicity 4)


Record 12
This record from the Alexandria database describes crystalline CrOsW at its relaxed geometry. The functional is GGA-PBEsol.

Calculated values
formation energy from the elements	0.9	eV/f.u.

abc: 3.058 4.345 12.518
angles: 90.00 90.00 90.00
Space group Fmm2 (No. 42)
Asymmetric unit:
Cr (0.000, 0.000, 0.000) (multiplicity 4)
Os (0.000, 0.000, 0.659) (multiplicity 4)
W (0.000, 0.000, 0.337) (multiplicity 4)


What did the sixth record say?
This record from the Alexandria database describes crystalline AlRh at its relaxed geometry. The functional is GGA-PBEsol.

Calculated values
formation energy from the elements	-1.7	eV/f.u.

abc: 5.367 3.958 5.106
angles: 90.00 90.00 90.00
Space group Pmma (No. 51)
Asymmetric unit:
Al (0.000, 0.000, 0.000) (multiplicity 2)
Al (0.250, 0.500, 0.327) (multiplicity 2)
Rh (0.000, 0.000, 0.500) (multiplicity 2)
Rh (0.250, 0.500, 0.827) (multiplicity 2)